VASP calculation (GGA-PBE) on CoP2Ru after structural relaxation.

Results
Relative energy among the computed polymorphs in eV per atom: 0.011
Energy of formation in eV per atom: -0.338
N(E_F) in states/eV/cell: 2.682

a b c (Å): 3.160 3.160 4.967
angles (deg): 90.00 90.00 90.00
Space group P4mm (No. 99)
Asymmetric unit:
Co (0.000, 0.000, 0.000) x1
P (0.000, 0.000, 0.448) x1
P (0.500, 0.500, 0.113) x1
Ru (0.500, 0.500, 0.624) x1

VASP calculation (GGA-PBE) on Co2PRu after structural relaxation.

Results
Energy of formation in eV per atom: -0.088
N(E_F) in states/eV/cell: 4.282

a b c (Å): 2.715 3.695 4.854
angles (deg): 90.00 105.83 90.00
Space group P2/m (No. 10)
Asymmetric unit:
Co (0.138, 0.000, 0.269) x2
P (0.500, 0.500, 0.500) x1
Ru (0.500, 0.500, 0.000) x1

no.,DFT total energy (eV for the cell shown),calculated density (g cm⁻³)
1,-28.553,7.43
2,-29.250,8.86